# 1
The following is a DFT calculation (GGA-PBE) of a geometry-optimized TlPdICl2 structure.

Calculated values
As for the symmetry: P4/mmm, No. 123. The calculation puts the uncorrected formation energy at -0.534 eV per atom.

Cell lengths 5.0249, 5.0249, 5.5279 Å; angles 90.00, 90.00, 90.00 degrees
With the nearest neighbours (Å) after each atom.
Element x y z (fractional)
Tl: 0.0000 0.0000 0.0000  4 I 3.55, 8 Cl 3.74
Pd: 0.5000 0.5000 0.5000  4 Cl 2.51, 2 I 2.76
I: 0.5000 0.5000 0.0000  2 Pd 2.76
Cl: 0.0000 0.5000 0.5000  2 Pd 2.51
Cl: 0.5000 0.0000 0.5000  2 Pd 2.51

---

# 2
The following is a DFT calculation (GGA-PBE) of a geometry-optimized Cr5W structure.

Calculated values
As for the symmetry: F-43m, No. 216. As for the formation enthalpy at 0 K: 144 meV/atom.

Cell lengths 4.7663, 4.7663, 4.7663 Å; angles 60.00, 60.00, 60.00 degrees
With the nearest neighbours (Å) after each atom.
Element x y z (fractional)
Cr: 0.0000 0.0000 0.0000  12 Cr 2.80, 4 W 2.92
Cr: 0.3755 0.3755 0.3755  6 Cr 2.37-2.39
Cr: 0.3755 0.3755 0.8736  6 Cr 2.37-2.39
Cr: 0.3755 0.8736 0.3755  6 Cr 2.37-2.39
Cr: 0.8736 0.3755 0.3755  6 Cr 2.37-2.39
W: 0.7500 0.7500 0.7500  16 Cr 2.79-2.92

---

# 3
The following is a DFT calculation (GGA-PBE) of a geometry-optimized LuTlAu4 structure.

Calculated values
As for the symmetry: F-43m, No. 216. As for the formation enthalpy at 0 K: -328 meV/atom.

Cell lengths 5.6221, 5.6221, 5.6221 Å; angles 60.00, 60.00, 60.00 degrees
With the nearest neighbours (Å) after each atom.
Element x y z (fractional)
Lu: 0.0000 0.0000 0.0000  12 Au 3.30, 4 Tl 3.44
Tl: 0.2500 0.2500 0.2500  12 Au 3.30, 4 Lu 3.44
Au: 0.1245 0.6252 0.6252  6 Au 2.81
Au: 0.6252 0.1245 0.6252  6 Au 2.81
Au: 0.6252 0.6252 0.1245  6 Au 2.81
Au: 0.6252 0.6252 0.6252  6 Au 2.81

---

# 4
The following is a DFT calculation (GGA-PBE) of a geometry-optimized BAsF2 structure.

Calculated values
As for the symmetry: Fd-3m, No. 227. The calculation puts the uncorrected formation energy at -0.228 eV per atom.

Cell lengths 5.3363, 5.3363, 5.3363 Å; angles 60.00, 60.00, 60.00 degrees
With the nearest neighbours (Å) after each atom.
Element x y z (fractional)
B: 0.1250 0.1250 0.1250  4 F 1.63
B: 0.8750 0.8750 0.8750  4 F 1.63
As: 0.3750 0.3750 0.3750  12 F 3.13, 4 B 3.27, 4 As 3.27
As: 0.6250 0.6250 0.6250  12 F 3.13, 4 B 3.27, 4 As 3.27
F: 0.0000 0.0000 0.0000  2 B 1.63
F: 0.0000 0.0000 0.5000  2 B 1.63
F: 0.0000 0.5000 0.0000  2 B 1.63
F: 0.5000 0.0000 0.0000  2 B 1.63

---

# 5
The following is a DFT calculation (GGA-PBE) of a geometry-optimized LaHf2O structure.

Calculated values
As for the symmetry: I-42d, No. 122. The calculation puts the uncorrected formation energy at -0.993 eV per atom.

Cell lengths 6.6328, 6.6328, 9.0602 Å; angles 90.00, 90.00, 90.00 degrees
With the nearest neighbours (Å) after each atom.
Element x y z (fractional)
La: 0.0000 0.0000 0.0000  8 Hf 3.52-3.80
La: 0.0000 0.5000 0.2500  8 Hf 3.52-3.80
La: 0.5000 0.0000 0.7500  8 Hf 3.52-3.80
La: 0.5000 0.5000 0.5000  8 Hf 3.52-3.80
Hf: 0.0640 0.2500 0.6250  2 O 2.05
Hf: 0.2500 0.5640 0.8750  2 O 2.05
Hf: 0.2500 0.9360 0.3750  2 O 2.05
Hf: 0.4360 0.2500 0.1250  2 O 2.05
Hf: 0.5640 0.7500 0.1250  2 O 2.05
Hf: 0.7500 0.0640 0.3750  2 O 2.05
Hf: 0.7500 0.4360 0.8750  2 O 2.05
Hf: 0.9360 0.7500 0.6250  2 O 2.05
O: 0.0000 0.0000 0.5000  4 Hf 2.05
O: 0.0000 0.5000 0.7500  4 Hf 2.05
O: 0.5000 0.0000 0.2500  4 Hf 2.05
O: 0.5000 0.5000 0.0000  4 Hf 2.05

---

# 6
The following is a DFT calculation (GGA-PBE) of a geometry-optimized Y4AsSe3 structure.

Calculated values
As for the symmetry: Pm-3m, No. 221. The calculation puts the uncorrected formation energy at -1.758 eV per atom.

Cell lengths 5.7867, 5.7867, 5.7867 Å; angles 90.00, 90.00, 90.00 degrees
With the nearest neighbours (Å) after each atom.
Element x y z (fractional)
Y: 0.0000 0.0000 0.0000  6 Se 2.89
Y: 0.0000 0.5000 0.5000  2 As 2.89, 4 Se 2.89
Y: 0.5000 0.0000 0.5000  2 As 2.89, 4 Se 2.89
Y: 0.5000 0.5000 0.0000  2 As 2.89, 4 Se 2.89
As: 0.5000 0.5000 0.5000  6 Y 2.89
Se: 0.0000 0.0000 0.5000  6 Y 2.89
Se: 0.0000 0.5000 0.0000  6 Y 2.89
Se: 0.5000 0.0000 0.0000  6 Y 2.89

---

Number 1: raw total energy -3.095 eV/atom. Number 2: raw total energy -10.034 eV/atom. Number 3: raw total energy -3.661 eV/atom. Number 4: raw total energy -3.995 eV/atom. Number 5: raw total energy -8.441 eV/atom. Number 6: raw total energy -6.878 eV/atom.